[1]
VASP calculation (PBE-GGA) on a relaxed RbGeBr3 crystal.

Geometry as POSCAR:
```
RbGeBr3
1.0
8.4032 0.0000 0.0000
0.0000 7.7651 0.0000
0.0000 0.0000 11.3836
Rb Ge Br
4 4 12
Direct
0.0809 0.0285 0.0000 Rb
0.4191 0.5285 0.5000 Rb
0.5809 0.4715 0.0000 Rb
0.9191 0.9715 0.5000 Rb
0.0302 0.5168 0.2308 Ge
0.4698 0.0168 0.7308 Ge
0.5302 0.9832 0.2308 Ge
0.9698 0.4832 0.7308 Ge
0.0031 0.4189 0.5107 Br
0.1824 0.7924 0.2842 Br
0.2199 0.8259 0.7068 Br
0.2801 0.3259 0.2068 Br
0.3176 0.2924 0.7842 Br
0.4969 0.9189 0.0107 Br
0.5031 0.0811 0.5107 Br
0.6824 0.7076 0.2842 Br
0.7199 0.6741 0.7068 Br
0.7801 0.1741 0.2068 Br
0.8176 0.2076 0.7842 Br
0.9969 0.5811 0.0107 Br
```

## Properties
The calculation puts the formation energy without anion corrections at -5.39 eV per formula unit. The calculation puts the calculated density at 3.56 g cm⁻³. Its space group is Pna2_1, No. 33.

[2]
VASP calculation (PBE-GGA) on a relaxed LaMn2Co crystal.

Geometry as POSCAR:
```
LaMn2Co
1.0
2.0151 1.1634 5.1313
-2.0151 1.1634 5.1313
0.0000 -2.3269 5.1313
La Mn Co
1 2 1
Direct
0.0000 0.0000 0.0000 La
0.1856 0.1856 0.1856 Mn
0.8144 0.8144 0.8144 Mn
0.5000 0.5000 0.5000 Co
```

## Properties
The formation energy comes out at 0.223 eV per atom. The calculation puts the calculated density at 7.08 g cm⁻³. Its space group is R-3m, No. 166.

[3]
VASP calculation (PBE-GGA) on a relaxed AlHg2Pt crystal.

Geometry as POSCAR:
```
AlHg2Pt
1.0
3.0174 0.0000 0.0000
0.0000 3.0174 0.0000
0.0000 0.0000 8.4934
Al Hg Pt
1 2 1
Direct
0.0000 0.0000 0.0000 Al
0.5000 0.5000 0.2598 Hg
0.5000 0.5000 0.7402 Hg
0.0000 0.0000 0.5000 Pt
```

## Properties
The formation energy comes out at 0.168 eV per atom. The calculation puts the calculated density at 13.38 g cm⁻³. Its space group is P4/mmm, No. 123.

[4]
VASP calculation (PBE-GGA) on a relaxed Cs2Tl2InAu crystal.

Geometry as POSCAR:
```
Cs2Tl2InAu
1.0
-3.5965 8.9987 3.7495
3.5965 -8.9987 3.7495
3.5965 8.9987 -3.7495
Cs Tl In Au
4 4 2 2
Direct
0.1671 0.2405 0.4076 Cs
0.3329 0.7405 0.0734 Cs
0.6671 0.2595 0.9266 Cs
0.8329 0.7595 0.5924 Cs
0.0882 0.7272 0.8153 Tl
0.4118 0.2272 0.6390 Tl
0.5882 0.7728 0.3610 Tl
0.9118 0.2728 0.1847 Tl
0.2500 0.2500 0.0000 In
0.7500 0.7500 0.0000 In
0.2500 0.7500 0.5000 Au
0.7500 0.2500 0.5000 Au
```

## Properties
The formation energy comes out at -0.111 eV per atom. The calculation puts the calculated density at 6.75 g cm⁻³. Its space group is Ibam, No. 72.